Version one
# Mn2HgBr, optimized geometry, DFT GGA-PBE
# - ρ (Mg/m³) = 7.749
data_Mn2HgBr
_chemical_formula_sum 'Mn2 Hg1 Br1'
_space_group_name_H-M_alt 'P 1'
_space_group_IT_number 1
_space_group_name_Hall 'P 1'
_cell_length_a 3.3322
_cell_length_b 3.3322
_cell_length_c 8.6447
_cell_angle_alpha 90.00
_cell_angle_beta 90.00
_cell_angle_gamma 119.37
loop_
_atom_site_label
_atom_site_type_symbol
_atom_site_fract_x
_atom_site_fract_y
_atom_site_fract_z
Mn1 Mn 0.0000 0.0000 0.2456
Mn2 Mn 0.0000 0.0000 0.7544
Hg1 Hg 0.5000 0.5000 0.5000
Br1 Br 0.5000 0.5000 0.0000


Version two
# Mn2HgBr, optimized geometry, DFT GGA-PBE
# - ρ (Mg/m³) = 7.638
data_Mn2HgBr
_chemical_formula_sum 'Mn2 Hg1 Br1'
_space_group_name_H-M_alt 'P 1'
_space_group_IT_number 1
_space_group_name_Hall 'P 1'
_cell_length_a 6.2696
_cell_length_b 6.2696
_cell_length_c 6.2696
_cell_angle_alpha 143.95
_cell_angle_beta 143.95
_cell_angle_gamma 51.90
loop_
_atom_site_label
_atom_site_type_symbol
_atom_site_fract_x
_atom_site_fract_y
_atom_site_fract_z
Mn1 Mn 0.0000 0.0000 0.0000
Mn2 Mn 0.7500 0.2500 0.5000
Hg1 Hg 0.5000 0.5000 0.0000
Br1 Br 0.2500 0.7500 0.5000


Most stable structure - version one; separation to the second - 82 meV per atom.


Version one
# Mn2HgBr, optimized geometry, DFT GGA-PBE
# - ρ (Mg/m³) = 7.249
data_Mn2HgBr
_chemical_formula_sum 'Mn4 Hg2 Br2'
_space_group_name_H-M_alt 'P 1'
_space_group_IT_number 1
_space_group_name_Hall 'P 1'
_cell_length_a 6.1621
_cell_length_b 6.1621
_cell_length_c 6.1621
_cell_angle_alpha 106.76
_cell_angle_beta 106.76
_cell_angle_gamma 115.04
loop_
_atom_site_label
_atom_site_type_symbol
_atom_site_fract_x
_atom_site_fract_y
_atom_site_fract_z
Mn1 Mn 0.1174 0.1250 0.4924
Mn2 Mn 0.3750 0.8826 0.0076
Mn3 Mn 0.6326 0.6250 0.5076
Mn4 Mn 0.8750 0.3674 0.9924
Hg1 Hg 0.2500 0.7500 0.5000
Hg2 Hg 0.5000 0.5000 0.0000
Br1 Br 0.0000 0.0000 0.0000
Br2 Br 0.7500 0.2500 0.5000


Version two
# Mn2HgBr, optimized geometry, DFT GGA-PBE
# - ρ (Mg/m³) = 8.184
data_Mn2HgBr
_chemical_formula_sum 'Mn2 Hg1 Br1'
_space_group_name_H-M_alt 'P 1'
_space_group_IT_number 1
_space_group_name_Hall 'P 1'
_cell_length_a 5.0126
_cell_length_b 5.0126
_cell_length_c 3.1526
_cell_angle_alpha 90.00
_cell_angle_beta 90.00
_cell_angle_gamma 90.00
loop_
_atom_site_label
_atom_site_type_symbol
_atom_site_fract_x
_atom_site_fract_y
_atom_site_fract_z
Mn1 Mn 0.0000 0.5000 0.0000
Mn2 Mn 0.5000 0.0000 0.0000
Hg1 Hg 0.0000 0.0000 0.5000
Br1 Br 0.5000 0.5000 0.5000


Version three
# Mn2HgBr, optimized geometry, DFT GGA-PBE
# - ρ (Mg/m³) = 6.642
data_Mn2HgBr
_chemical_formula_sum 'Mn2 Hg1 Br1'
_space_group_name_H-M_alt 'P 1'
_space_group_IT_number 1
_space_group_name_Hall 'P 1'
_cell_length_a 6.7497
_cell_length_b 6.7497
_cell_length_c 4.6363
_cell_angle_alpha 90.00
_cell_angle_beta 90.00
_cell_angle_gamma 27.52
loop_
_atom_site_label
_atom_site_type_symbol
_atom_site_fract_x
_atom_site_fract_y
_atom_site_fract_z
Mn1 Mn 0.0000 0.0000 0.0000
Mn2 Mn 0.6666 0.6666 0.0003
Hg1 Hg 0.1168 0.1168 0.5001
Br1 Br 0.3440 0.3440 0.9985


Most stable structure - version three; separation to the second - 233 meV per atom.


Version one
# Mn2HgBr, optimized geometry, DFT GGA-PBE
# - ρ (Mg/m³) = 8.045
data_Mn2HgBr
_chemical_formula_sum 'Mn2 Hg1 Br1'
_space_group_name_H-M_alt 'P 1'
_space_group_IT_number 1
_space_group_name_Hall 'P 1'
_cell_length_a 3.2706
_cell_length_b 3.2706
_cell_length_c 7.5326
_cell_angle_alpha 90.00
_cell_angle_beta 90.00
_cell_angle_gamma 90.00
loop_
_atom_site_label
_atom_site_type_symbol
_atom_site_fract_x
_atom_site_fract_y
_atom_site_fract_z
Mn1 Mn 0.0000 0.0000 0.2330
Mn2 Mn 0.0000 0.0000 0.7670
Hg1 Hg 0.5000 0.5000 0.0000
Br1 Br 0.5000 0.5000 0.5000


Version two
# Mn2HgBr, optimized geometry, DFT GGA-PBE
# - ρ (Mg/m³) = 7.353
data_Mn2HgBr
_chemical_formula_sum 'Mn2 Hg1 Br1'
_space_group_name_H-M_alt 'P 1'
_space_group_IT_number 1
_space_group_name_Hall 'P 1'
_cell_length_a 6.7155
_cell_length_b 6.7155
_cell_length_c 6.7155
_cell_angle_alpha 152.28
_cell_angle_beta 141.08
_cell_angle_gamma 48.45
loop_
_atom_site_label
_atom_site_type_symbol
_atom_site_fract_x
_atom_site_fract_y
_atom_site_fract_z
Mn1 Mn 0.0000 0.0000 0.0000
Mn2 Mn 0.8144 0.3144 0.5000
Hg1 Hg 0.3601 0.8601 0.5000
Br1 Br 0.6286 0.6286 0.0000


Most stable structure - version two; separation to the second - 88 meV per atom.


Version one
# Mn2HgBr, optimized geometry, DFT GGA-PBE
# - ρ (Mg/m³) = 7.588
data_Mn2HgBr
_chemical_formula_sum 'Mn2 Hg1 Br1'
_space_group_name_H-M_alt 'P 1'
_space_group_IT_number 1
_space_group_name_Hall 'P 1'
_cell_length_a 5.5469
_cell_length_b 5.5469
_cell_length_c 5.5469
_cell_angle_alpha 145.26
_cell_angle_beta 116.45
_cell_angle_gamma 74.51
loop_
_atom_site_label
_atom_site_type_symbol
_atom_site_fract_x
_atom_site_fract_y
_atom_site_fract_z
Mn1 Mn 0.2418 0.2418 0.0000
Mn2 Mn 0.7582 0.7582 0.0000
Hg1 Hg 0.5000 0.0000 0.5000
Br1 Br 0.0000 0.5000 0.5000


Version two
# Mn2HgBr, optimized geometry, DFT GGA-PBE
# - ρ (Mg/m³) = 7.795
data_Mn2HgBr
_chemical_formula_sum 'Mn2 Hg1 Br1'
_space_group_name_H-M_alt 'P 1'
_space_group_IT_number 1
_space_group_name_Hall 'P 1'
_cell_length_a 3.2419
_cell_length_b 5.0642
_cell_length_c 5.0653
_cell_angle_alpha 90.00
_cell_angle_beta 90.01
_cell_angle_gamma 90.00
loop_
_atom_site_label
_atom_site_type_symbol
_atom_site_fract_x
_atom_site_fract_y
_atom_site_fract_z
Mn1 Mn 0.0000 0.0000 0.0000
Mn2 Mn 0.0047 0.5000 0.5017
Hg1 Hg 0.5003 0.5000 0.0009
Br1 Br 0.9949 0.0000 0.5000


Most stable structure - version two; separation to the second - 64 meV per atom.